A plane-wave DFT calculation with GGA-PBE was carried out for a relaxed AcInHg4 crystal.

Cell and atoms, written as POSCAR:
```
AcInHg4
1.0
-0.465 2.649 4.204
-8.066 0.139 -0.980
-0.397 -8.291 2.090
Hg In Ac
8 2 2
Cartesian
-8.290 -4.718 1.998 Hg
0.000 0.000 0.000 Hg
-4.234 -0.723 2.879 Hg
-2.624 -6.668 3.804 Hg
-0.638 -0.785 3.316 Hg
-6.304 1.165 1.510 Hg
-4.033 0.069 -0.490 Hg
-4.694 -4.780 2.435 Hg
-6.724 -3.415 4.317 In
-2.204 -2.088 0.997 In
-2.657 -3.129 4.579 Ac
-6.271 -2.374 0.735 Ac
```

Output
DFT formation energy = -284 meV/atom
SG = P2_1/m
Spin magnetization = 0.00 μB/atom
Distance to the lowest polymorph of the same formula = 0 meV per atom
Crystal system = monoclinic

A plane-wave DFT calculation with GGA-PBE was carried out for a relaxed AcInHg3 crystal.

Cell and atoms, written as POSCAR:
```
AcInHg3
1.0
2.605 -10.358 0.000
2.605 10.358 0.000
0.000 0.000 5.189
Hg In Ac
6 2 2
Cartesian
2.605 9.451 0.805 Hg
2.605 5.203 0.805 Hg
2.605 -0.886 3.400 Hg
2.605 0.886 0.806 Hg
2.605 -9.451 3.399 Hg
2.605 -5.203 3.400 Hg
2.605 7.165 3.399 In
2.605 -7.165 0.805 In
2.605 3.030 3.400 Ac
2.605 -3.030 0.806 Ac
```

Output
DFT formation energy = -342 meV/atom
SG = Cmcm
Spin magnetization = 0.00 μB/atom
Distance to the lowest polymorph of the same formula = 0 meV per atom
Crystal system = orthorhombic

A plane-wave DFT calculation with GGA-PBE was carried out for a relaxed Ac4InHg3 crystal.

Cell and atoms, written as POSCAR:
```
Ac4InHg3
1.0
-0.875 -2.665 4.996
5.655 -0.665 0.636
-1.977 8.837 1.082
Ac Hg In
4 3 1
Cartesian
0.311 5.373 2.921 Ac
2.700 3.709 5.736 Ac
2.492 0.135 3.794 Ac
0.103 1.799 0.978 Ac
2.828 -0.332 0.318 Hg
-0.231 2.247 4.443 Hg
3.034 3.261 2.271 Hg
-0.438 -1.332 2.498 In
```

Output
DFT formation energy = -451 meV/atom
SG = C2/m
Spin magnetization = 0.10 μB/atom
Crystal system = monoclinic